<one>
Compound: KNbZn
Source: the Alexandria database
Functional: PBE-GGA
Structure: relaxed

Unit cell a=3.622 b=4.154 c=12.407 alpha=99.41 beta=90.14 gamma=90.00
Space group P-1 (No. 2)
Unique sites:
K 0.246 0.336 0.165 (multiplicity 2)
Nb 0.249 0.961 0.420 (multiplicity 2)
Zn 0.251 0.542 0.587 (multiplicity 2)

Properties
Magnetization in μB/f.u.: 0.00


<two>
Compound: KNbZn
Source: the Alexandria database
Functional: PBE-GGA
Structure: relaxed

Unit cell a=4.981 b=4.981 c=7.745 alpha=90.00 beta=90.00 gamma=90.00
Space group P4/nmm (No. 129, origin choice 2)
Unique sites:
K 0.250 0.250 0.148 (multiplicity 2)
Nb 0.250 0.250 0.589 (multiplicity 2)
Zn 0.250 0.750 0.500 (multiplicity 2)

Properties
Magnetization in μB/f.u.: 1.18


Which structure wins on stability? <one> wins.